Below is a relaxed structure of TaBe2Tl, with properties calculated at the PBE-GGA level.

Values from the calculation:
The total energy is -19.885 eV/cell. The polymorph energy (0 for the lowest one) is 0.090 eV/atom. The crystal system is orthorhombic. The energy relative to the elements is 0.45 eV/atom. For the volume, the calculation gives 60.1 Å³/cell. The size of the total moment comes out at 0.0 μB per formula unit.

```
TaBe2Tl
1.0
1.9725 -2.2945 0.0000
1.9725 2.2945 0.0000
0.0000 0.0000 6.6392
Ta Be Tl
1 2 1
direct
0.0000 0.0000 0.0000
0.0000 0.0000 0.3813
0.5000 0.5000 0.2413
0.5000 0.5000 0.6562
```

---

Below is a relaxed structure of RbHf3Cd, with properties calculated at the PBE-GGA level.

Values from the calculation:
The total energy is -24.279 eV/cell. The polymorph energy (0 for the lowest one) is 0.000 eV/atom. The crystal system is cubic. The energy relative to the elements is 1.49 eV/atom. For the volume, the calculation gives 158.3 Å³/cell. The size of the total moment comes out at 0.0 μB per formula unit.

```
RbHf3Cd
1.0
5.4090 0.0000 0.0000
0.0000 5.4090 0.0000
0.0000 0.0000 5.4090
Rb Hf Cd
1 3 1
direct
0.0000 0.0000 0.0000
0.0000 0.5000 0.5000
0.5000 0.0000 0.5000
0.5000 0.5000 0.0000
0.5000 0.5000 0.5000
```

---

Below is a relaxed structure of NbPd3Pt6, with properties calculated at the PBE-GGA level.

Values from the calculation:
The total energy is -129.561 eV/cell. The crystal system is monoclinic. The energy relative to the elements is -0.29 eV/atom. For the volume, the calculation gives 316.0 Å³/cell. The size of the total moment comes out at 0.0 μB per formula unit.

```
NbPd3Pt6
1.0
8.8828 0.0000 0.0000
0.0000 3.9668 0.0000
-0.0936 0.0000 8.9681
Nb Pd Pt
2 6 12
direct
0.0620 0.2500 0.3805
0.9380 0.7500 0.6195
0.2506 0.2500 0.9936
0.3491 0.7500 0.7956
0.4503 0.2500 0.6003
0.5497 0.7500 0.3997
0.6509 0.2500 0.2044
0.7494 0.7500 0.0064
0.0498 0.7500 0.8979
0.1387 0.2500 0.6893
0.1527 0.7500 0.2009
0.2400 0.7500 0.4993
0.3507 0.2500 0.3001
0.4495 0.7500 0.0970
0.5505 0.2500 0.9030
0.6493 0.7500 0.6999
0.7600 0.2500 0.5007
0.8473 0.2500 0.7991
0.8613 0.7500 0.3107
0.9502 0.2500 0.1021
```

---

Below is a relaxed structure of Ba2LaPRh, with properties calculated at the PBE-GGA level.

Values from the calculation:
The total energy is -22.787 eV/cell. The crystal system is tetragonal. The energy relative to the elements is -0.25 eV/atom. For the volume, the calculation gives 183.1 Å³/cell. The size of the total moment comes out at 0.0 μB per formula unit.

```
Ba2LaPRh
1.0
5.8766 0.0000 0.0000
0.0000 5.8766 0.0000
0.0000 0.0000 5.3019
Ba La P Rh
2 1 1 1
direct
0.0000 0.5000 0.0000
0.5000 0.0000 0.0000
0.0000 0.0000 0.5000
0.5000 0.5000 0.5000
0.0000 0.0000 0.0000
```

---

Below is a relaxed structure of MgReNi2, with properties calculated at the PBE-GGA level.

Values from the calculation:
The total energy is -25.484 eV/cell. The crystal system is monoclinic. The energy relative to the elements is 0.03 eV/atom. For the volume, the calculation gives 53.0 Å³/cell. The size of the total moment comes out at 0.0 μB per formula unit.

```
MgReNi2
1.0
4.6126 -1.3161 0.0000
4.6126 1.3161 0.0000
-1.2265 0.0000 4.3685
Mg Re Ni
1 1 2
direct
0.0000 0.0000 0.0000
0.7829 0.7829 0.3725
0.2434 0.2434 0.8513
0.5276 0.5276 0.5082
```

---

Below is a relaxed structure of SmMgIr2, with properties calculated at the PBE-GGA level.

Values from the calculation:
The total energy is -25.693 eV/cell. The polymorph energy (0 for the lowest one) is 0.021 eV/atom. The crystal system is cubic. The energy relative to the elements is -0.41 eV/atom. For the volume, the calculation gives 74.2 Å³/cell. The size of the total moment comes out at 0.0 μB per formula unit.

```
SmMgIr2
1.0
0.0000 3.3353 3.3353
3.3353 0.0000 3.3353
3.3353 3.3353 0.0000
Sm Mg Ir
1 1 2
direct
0.0000 0.0000 0.0000
0.5000 0.5000 0.5000
0.2500 0.2500 0.2500
0.7500 0.7500 0.7500
```

---

Below is a relaxed structure of GdPuTlHg, with properties calculated at the PBE-GGA level.

Values from the calculation:
The total energy is -32.040 eV/cell. The crystal system is cubic. The energy relative to the elements is -0.24 eV/atom. For the volume, the calculation gives 109.2 Å³/cell. The size of the total moment comes out at 13.6 μB per formula unit.

```
GdPuTlHg
1.0
0.0000 3.7941 3.7941
3.7941 0.0000 3.7941
3.7941 3.7941 0.0000
Gd Pu Tl Hg
1 1 1 1
direct
0.0000 0.0000 0.0000
0.5000 0.5000 0.5000
0.2500 0.2500 0.2500
0.7500 0.7500 0.7500
```

---

Below is a relaxed structure of Tb2Mn16Cr, with properties calculated at the PBE-GGA level.

Values from the calculation:
The total energy is -165.265 eV/cell. The crystal system is trigonal. The energy relative to the elements is 0.02 eV/atom. For the volume, the calculation gives 251.6 Å³/cell. The size of the total moment comes out at 5.3 μB per formula unit.

```
Tb2Mn16Cr
1.0
4.3229 2.4958 3.8866
-4.3229 2.4958 3.8866
0.0000 -4.9916 3.8866
Tb Mn Cr
2 16 1
direct
0.0000 0.0000 0.0000
0.2914 0.2914 0.2914
0.0009 0.0009 0.5223
0.0009 0.5223 0.0009
0.1468 0.6443 0.6443
0.2890 0.2890 0.7685
0.2890 0.7685 0.2890
0.3708 0.6462 0.9206
0.3708 0.9206 0.6462
0.5223 0.0009 0.0009
0.6443 0.1468 0.6443
0.6443 0.6443 0.1468
0.6462 0.3708 0.9206
0.6462 0.9206 0.3708
0.7451 0.7451 0.7451
0.7685 0.2890 0.2890
0.9206 0.3708 0.6462
0.9206 0.6462 0.3708
0.5489 0.5489 0.5489
```

---

> Which of these has the lowest energy relative to the elements?

SmMgIr2